Record 1
# Ac2SbI

A relaxed Ac2SbI crystal (PBE, Alexandria).

Cell: 4.8489 4.8489 8.1434 Å, 72.68 72.68 60.00°
Fractional coordinates of all 4 atoms:
I 0.5000 0.5000 0.5000
Sb 0.0000 0.0000 0.0000
Ac 0.2592 0.2592 0.2224
Ac 0.7408 0.7408 0.7776

VASP energy: -18.28 eV/cell
Magnetic moment: 0.0 μB/f.u.
Symmetry: R-3m, No. 166
Volume: 156 Å³/f.u.

***

Record 2
# KSmF4

A relaxed KSmF4 crystal (PBE, Alexandria).

Cell: 4.5148 6.2565 9.5160 Å, 90.00 103.72 90.00°
Fractional coordinates of all 12 atoms:
K 0.8003 0.7838 0.6007
K 0.1997 0.2838 0.3993
Sm 0.5894 0.7806 0.1788
Sm 0.4106 0.2806 0.8212
F 0.9079 0.2806 0.8158
F 0.0921 0.7806 0.1842
F 0.4974 0.0222 0.9948
F 0.5026 0.5222 0.0052
F 0.6777 0.5389 0.3554
F 0.3223 0.0389 0.6446
F 0.6759 0.0274 0.3518
F 0.3241 0.5274 0.6482

VASP energy: -70.46 eV/cell
Magnetic moment: 0.1 μB/f.u.
Symmetry: Cmc2_1, No. 36
Volume: 131 Å³/f.u.

***

Record 3
# LiTl2H2

A relaxed LiTl2H2 crystal (PBE, Alexandria).

Cell: 3.6380 3.6380 7.1432 Å, 75.25 75.25 90.00°
Fractional coordinates of all 5 atoms:
H 0.7500 0.2500 0.5000
H 0.2500 0.7500 0.5000
Tl 0.3577 0.3577 0.2846
Tl 0.6423 0.6423 0.7154
Li 0.0000 0.0000 0.0000

VASP energy: -11.98 eV/cell
Magnetic moment: 0.0 μB/f.u.
Symmetry: I4/mmm, No. 139
Volume: 88 Å³/f.u.

***

Record 4
# IrSe2Br

A relaxed IrSe2Br crystal (PBE, Alexandria).

Cell: 6.8751 6.8751 6.6259 Å, 58.75 58.75 90.00°
Fractional coordinates of all 8 atoms:
Ir 0.0000 0.0000 0.0000
Ir 0.7500 0.2500 0.5000
Se 0.7047 0.1250 0.2500
Se 0.0453 0.6250 0.2500
Se 0.3750 0.2953 0.7500
Se 0.8750 0.9547 0.7500
Br 0.5000 0.5000 0.0000
Br 0.2500 0.7500 0.5000

VASP energy: -34.30 eV/cell
Magnetic moment: 0.0 μB/f.u.
Symmetry: I-42d, No. 122
Volume: 106 Å³/f.u.

***

Record 5
# LaCu8Ag3

A relaxed LaCu8Ag3 crystal (PBE, Alexandria).

Cell: 5.0568 5.0568 8.7942 Å, 73.29 73.29 60.00°
Fractional coordinates of all 12 atoms:
La 0.8748 0.8748 0.3757
Cu 0.9459 0.4411 0.1719
Cu 0.4312 0.9368 0.6953
Cu 0.4411 0.4411 0.1719
Cu 0.9368 0.9368 0.6953
Cu 0.1867 0.1867 0.4398
Cu 0.6887 0.6887 0.9340
Cu 0.4411 0.9459 0.1719
Cu 0.9368 0.4312 0.6953
Ag 0.3742 0.3742 0.8775
Ag 0.0036 0.0036 0.9893
Ag 0.4893 0.4893 0.5320

Calculated formation energy: -3.16 kJ per mole of atoms
VASP energy: -46.64 eV/cell
Magnetic moment: 0.0 μB/f.u.
Symmetry: R3m, No. 160
Volume: 184 Å³/f.u.

***

Record 6
# SrTc2Mo

A relaxed SrTc2Mo crystal (PBE, Alexandria).

Cell: 3.2022 3.2022 7.6350 Å, 90.00 90.00 90.00°
Fractional coordinates of all 4 atoms:
Mo 0.5000 0.5000 0.2500
Sr 0.5000 0.5000 0.7500
Tc 0.0000 0.0000 0.0678
Tc 0.0000 0.0000 0.4322

Calculated formation energy: 48.42 kJ per mole of atoms
VASP energy: -31.24 eV/cell
Magnetic moment: 0.0 μB/f.u.
Symmetry: P4/mmm, No. 123
Volume: 78 Å³/f.u.

***

Record 7
# Cd2HIrAu

A relaxed Cd2HIrAu crystal (PBE, Alexandria).

Cell: 4.6937 4.6937 3.4943 Å, 90.00 90.00 90.00°
Fractional coordinates of all 5 atoms:
H 0.0000 0.0000 0.0000
Ir 0.0000 0.0000 0.5000
Au 0.5000 0.5000 0.5000
Cd 0.0000 0.5000 0.0000
Cd 0.5000 0.0000 0.0000

VASP energy: -16.90 eV/cell
Magnetic moment: 0.0 μB/f.u.
Symmetry: P4/mmm, No. 123
Volume: 77 Å³/f.u.

***

Record 8
# KAs2Pt

A relaxed KAs2Pt crystal (PBE, Alexandria).

Cell: 4.1642 2.9794 7.1119 Å, 89.96 90.00 90.00°
Fractional coordinates of all 4 atoms:
As 0.0000 0.7491 0.9465
As 0.0000 0.7509 0.5535
K 0.5000 0.2500 0.2500
Pt 0.5000 0.7500 0.7500

Calculated formation energy: -29.82 kJ per mole of atoms
VASP energy: -17.67 eV/cell
Magnetic moment: 0.0 μB/f.u.
Symmetry: Pmmm, No. 47
Volume: 88 Å³/f.u.

***

Record 9
# ZnCoPt

A relaxed ZnCoPt crystal (PBE, Alexandria).

Cell: 4.1908 4.1908 2.7005 Å, 90.00 90.00 120.00°
Last column: magnetic moment on the atom in μB.
Fractional coordinates of all 3 atoms:
Co 0.0000 0.0000 0.9282  1.75
Pt 0.3333 0.6667 0.3479  0.19
Zn 0.6667 0.3333 0.7239  -0.02

Calculated formation energy: -10.46 kJ per mole of atoms
VASP energy: -14.75 eV/cell
Magnetic moment: 1.9 μB/f.u.
Symmetry: P3m1, No. 156
Volume: 41 Å³/f.u.

***

Record 10
# MnNi2P

A relaxed MnNi2P crystal (PBE, Alexandria).

Cell: 3.7054 2.7612 4.7870 Å, 73.93 90.00 90.00°
Last column: magnetic moment on the atom in μB.
Fractional coordinates of all 4 atoms:
Mn 0.5000 0.7500 0.7500  3.02
Ni 0.0000 0.1236 0.0155  0.15
Ni 0.0000 0.3764 0.4845  0.15
P 0.5000 0.2500 0.2500  -0.07

Calculated formation energy: -20.87 kJ per mole of atoms
VASP energy: -27.01 eV/cell
Magnetic moment: 3.3 μB/f.u.
Symmetry: P2/m, No. 10
Volume: 47 Å³/f.u.

***

Record 11
# BaSeCl3

A relaxed BaSeCl3 crystal (PBE, Alexandria).

Cell: 6.0317 6.0317 6.0317 Å, 90.00 90.00 90.00°
Last column: magnetic moment on the atom in μB.
Fractional coordinates of all 5 atoms:
Ba 0.0000 0.0000 0.0000  0.00
Se 0.5000 0.5000 0.5000  1.51
Cl 0.0000 0.5000 0.0000  0.09
Cl 0.0000 0.0000 0.5000  0.18
Cl 0.5000 0.0000 0.0000  0.13

VASP energy: -15.47 eV/cell
Magnetic moment: 3.0 μB/f.u.
Symmetry: Pm-3m, No. 221
Volume: 219 Å³/f.u.

***

Record 12
# NaLi4H10N5

A relaxed NaLi4H10N5 crystal (PBE, Alexandria).

Cell: 6.7100 9.8351 11.3288 Å, 83.44 80.33 84.17°
Fractional coordinates of all 80 atoms:
Na 0.8613 0.6518 0.9481
Na 0.0504 0.4475 0.3520
Na 0.2425 0.2537 0.7447
Na 0.4451 0.0534 0.1547
Li 0.9075 0.1086 0.7994
Li 0.3148 0.7153 0.5991
Li 0.7142 0.2924 0.3971
Li 0.1139 0.9051 0.1978
Li 0.5255 0.5076 0.9961
Li 0.5853 0.3924 0.7039
Li 0.9653 0.9860 0.5042
Li 0.3944 0.5957 0.3064
Li 0.7846 0.1933 0.1015
Li 0.1986 0.8013 0.8939
Li 0.4166 0.6060 0.7955
Li 0.7849 0.1915 0.6027
Li 0.1952 0.8005 0.4020
Li 0.6032 0.4006 0.2011
Li 0.0011 0.0001 0.9992
Li 0.6439 0.8489 0.5507
H 0.8001 0.4307 0.8237
H 0.1724 0.0265 0.6293
H 0.6004 0.6529 0.4307
H 0.9974 0.2302 0.2198
H 0.3916 0.8353 0.0265
H 0.9231 0.3030 0.9338
H 0.3605 0.9112 0.7233
H 0.7101 0.4870 0.5239
H 0.1069 0.0994 0.3345
H 0.5294 0.6999 0.1301
H 0.4036 0.3791 0.4577
H 0.8007 0.9842 0.2551
H 0.2107 0.5920 0.0500
H 0.5853 0.1827 0.8599
H 0.9668 0.7671 0.6530
H 0.2939 0.4939 0.5881
H 0.6562 0.0665 0.3997
H 0.1034 0.6799 0.1893
H 0.4883 0.2878 0.9897
H 0.9025 0.8898 0.7830
H 0.3671 0.9874 0.9601
H 0.5560 0.8023 0.3629
H 0.7726 0.5809 0.7543
H 0.9571 0.3835 0.1598
H 0.1486 0.1744 0.5548
H 0.5534 0.8199 0.7632
H 0.7314 0.6251 0.1737
H 0.9107 0.4170 0.5737
H 0.1250 0.2200 0.9701
H 0.3057 0.0218 0.3803
H 0.5579 0.0873 0.7594
H 0.7623 0.8898 0.1561
H 0.9489 0.6858 0.5413
H 0.1835 0.4960 0.9496
H 0.3646 0.2906 0.3548
H 0.7576 0.9028 0.9095
H 0.9563 0.7055 0.3132
H 0.1556 0.5116 0.7162
H 0.3513 0.3102 0.1169
H 0.5315 0.0888 0.5303
N 0.6993 0.5166 0.8224
N 0.0744 0.1136 0.6252
N 0.4919 0.7346 0.4313
N 0.8906 0.3129 0.2249
N 0.2897 0.9205 0.0240
N 0.9986 0.2067 0.9336
N 0.4282 0.8126 0.7235
N 0.7936 0.3940 0.5333
N 0.1885 0.0051 0.3370
N 0.6092 0.6052 0.1362
N 0.4158 0.3829 0.3657
N 0.8107 0.9840 0.1636
N 0.2265 0.5915 0.9583
N 0.6014 0.1827 0.7681
N 0.9821 0.7798 0.5607
N 0.3054 0.5000 0.6767
N 0.6780 0.0733 0.4864
N 0.1079 0.6916 0.2778
N 0.5010 0.2963 0.0776
N 0.9088 0.8947 0.8723

VASP energy: -376.14 eV/cell
Magnetic moment: 0.0 μB/f.u.
Symmetry: P1, No. 1
Volume: 182 Å³/f.u.

***

Record 13
# CeDyCdIn

A relaxed CeDyCdIn crystal (PBE, Alexandria).

Cell: 5.3791 5.3791 5.3791 Å, 60.00 60.00 60.00°
Last column: magnetic moment on the atom in μB.
Fractional coordinates of all 4 atoms:
Cd 0.7500 0.7500 0.7500  0.01
In 0.2500 0.2500 0.2500  -0.01
Ce 0.5000 0.5000 0.5000  0.75
Dy 0.0000 0.0000 0.0000  0.09

Calculated formation energy: -30.21 kJ per mole of atoms
VASP energy: -15.44 eV/cell
Magnetic moment: 1.0 μB/f.u.
Symmetry: F-43m, No. 216
Volume: 110 Å³/f.u.

***

Record 14
# MnTlSBr2

A relaxed MnTlSBr2 crystal (PBE, Alexandria).

Cell: 5.4092 5.4092 4.5681 Å, 90.00 90.00 90.00°
Last column: magnetic moment on the atom in μB.
Fractional coordinates of all 5 atoms:
Tl 0.5000 0.5000 0.5000  0.01
Mn 0.0000 0.0000 0.0000  3.81
S 0.0000 0.0000 0.5000  -0.09
Br 0.0000 0.5000 0.0000  0.01
Br 0.5000 0.0000 0.0000  0.01

VASP energy: -21.55 eV/cell
Magnetic moment: 4.0 μB/f.u.
Symmetry: P4/mmm, No. 123
Volume: 134 Å³/f.u.

***

Record 15
# Ce2BiPt

A relaxed Ce2BiPt crystal (PBE, Alexandria).

Cell: 4.2621 4.2621 7.8647 Å, 74.28 74.28 60.00°
Last column: magnetic moment on the atom in μB.
Fractional coordinates of all 4 atoms:
Ce 0.7621 0.7621 0.7138  0.67
Ce 0.2379 0.2379 0.2862  0.67
Bi 0.0000 0.0000 0.0000  -0.05
Pt 0.5000 0.5000 0.5000  -0.02

Calculated formation energy: -80.25 kJ per mole of atoms
VASP energy: -25.12 eV/cell
Magnetic moment: 1.6 μB/f.u.
Symmetry: R-3m, No. 166
Volume: 118 Å³/f.u.

***

Record 16
# LiYSiPd

A relaxed LiYSiPd crystal (PBE, Alexandria).

Cell: 4.5708 4.5708 4.5708 Å, 60.00 60.00 60.00°
Fractional coordinates of all 4 atoms:
Y 0.2500 0.2500 0.2500
Si 0.7500 0.7500 0.7500
Pd 0.0000 0.0000 0.0000
Li 0.5000 0.5000 0.5000

VASP energy: -21.73 eV/cell
Magnetic moment: 0.0 μB/f.u.
Symmetry: F-43m, No. 216
Volume: 68 Å³/f.u.

***

Record 17
# Li2ZrTiPb

A relaxed Li2ZrTiPb crystal (PBE, Alexandria).

Cell: 4.7096 5.6031 4.7096 Å, 90.00 90.00 90.00°
Last column: magnetic moment on the atom in μB.
Fractional coordinates of all 5 atoms:
Pb 0.0000 0.0000 0.0000  -0.01
Li 0.0000 0.0000 0.5000  0.00
Li 0.5000 0.0000 0.0000  0.00
Zr 0.0000 0.5000 0.0000  0.06
Ti 0.5000 0.5000 0.5000  0.11

Calculated formation energy: 73.97 kJ per mole of atoms
VASP energy: -20.15 eV/cell
Magnetic moment: 0.2 μB/f.u.
Symmetry: P4/mmm, No. 123
Volume: 124 Å³/f.u.

***

Record 18
# NaSe3O

A relaxed NaSe3O crystal (PBE, Alexandria).

Cell: 4.5749 4.5749 4.5749 Å, 90.00 90.00 90.00°
Fractional coordinates of all 5 atoms:
Na 0.5000 0.5000 0.5000
O 0.0000 0.0000 0.0000
Se 0.0000 0.5000 0.0000
Se 0.0000 0.0000 0.5000
Se 0.5000 0.0000 0.0000

VASP energy: -16.55 eV/cell
Magnetic moment: 0.0 μB/f.u.
Symmetry: Pm-3m, No. 221
Volume: 96 Å³/f.u.

***

Record 19
# Bi3PtO7

A relaxed Bi3PtO7 crystal (PBE, Alexandria).

Cell: 6.6516 6.6516 7.5982 Å, 90.00 90.00 107.76°
Fractional coordinates of all 22 atoms:
Bi 0.4829 0.4829 0.5000
Bi 0.5171 0.5171 0.0000
Bi 0.5308 0.9991 0.2532
Bi 0.4692 0.0009 0.7532
Bi 0.9991 0.5308 0.7468
Bi 0.0009 0.4692 0.2468
Pt 0.0007 0.0007 0.5000
Pt 0.9993 0.9993 0.0000
O 0.6842 0.9352 0.5281
O 0.3158 0.0648 0.0281
O 0.9352 0.6842 0.4719
O 0.0648 0.3158 0.9719
O 0.0757 0.3202 0.5262
O 0.9243 0.6798 0.0262
O 0.3202 0.0757 0.4738
O 0.6798 0.9243 0.9738
O 0.3640 0.6360 0.2500
O 0.6360 0.3640 0.7500
O 0.6416 0.3584 0.2500
O 0.3584 0.6416 0.7500
O 0.9324 0.0676 0.2500
O 0.0676 0.9324 0.7500

VASP energy: -126.91 eV/cell
Magnetic moment: 0.0 μB/f.u.
Symmetry: C222_1, No. 20
Volume: 160 Å³/f.u.

***

Record 20
# PrGa4PdAu2

A relaxed PrGa4PdAu2 crystal (PBE, Alexandria).

Cell: 4.4101 4.4101 9.4055 Å, 76.44 76.44 60.00°
Fractional coordinates of all 8 atoms:
Pr 0.0000 0.0000 0.0000
Ga 0.3994 0.3994 0.8017
Ga 0.8672 0.8672 0.3984
Ga 0.1328 0.1328 0.6016
Ga 0.6006 0.6006 0.1983
Pd 0.5000 0.5000 0.5000
Au 0.7555 0.7555 0.7336
Au 0.2445 0.2445 0.2664

Calculated formation energy: -47.10 kJ per mole of atoms
VASP energy: -32.54 eV/cell
Magnetic moment: 0.0 μB/f.u.
Symmetry: R-3m, No. 166
Volume: 153 Å³/f.u.